This record from OQMD describes a relaxed NaNiSn crystal. The functional is PBE.

Geometry as extended XYZ:
```
3
Lattice="0.000 3.132 3.132 3.132 0.000 3.132 3.132 3.132 0.000" Properties=species:S:1:pos:R:3 pbc="T T T"
Na 1.566 1.566 1.566
Ni 0.000 0.000 0.000
Sn 4.698 4.698 4.698
```

Output
Total magnetic moment = 0.01 Bohr magnetons per cell
Space-group type = F-43m, No. 216
Crystal system = cubic
E_tot = -10.59 eV/cell